[1]
VASP calculation (PBE-GGA) on a geometry-optimized Na2Ga3PdAu4 structure.

The value obtained for the total energy is -32.726 eV/f.u. As for the formation enthalpy at 0 K: -26.1 kJ per mole of atoms.

CIF file:
```
data_Na2Ga3PdAu4
_chemical_formula_sum 'Na2 Ga3 Pd1 Au4'
_space_group_name_H-M_alt 'P -4 m 2'
_space_group_IT_number 115
_cell_length_a 4.215
_cell_length_b 4.215
_cell_length_c 11.612
_cell_angle_alpha 90.00
_cell_angle_beta 90.00
_cell_angle_gamma 90.00
loop_
_space_group_symop_operation_xyz
'x,y,z'
'y,-x,-z'
'-x,-y,z'
'-y,x,-z'
'-x,y,z'
'-y,-x,-z'
'x,-y,z'
'y,x,-z'
loop_
_atom_site_label
_atom_site_fract_x
_atom_site_fract_y
_atom_site_fract_z
_atom_site_occupancy
Na1 0.000 0.500 0.240 1
Ga1 0.000 0.000 0.000 1
Ga2 0.000 0.500 0.635 1
Pd1 0.500 0.500 0.000 1
Au1 0.000 0.000 0.500 1
Au2 0.000 0.500 0.849 1
Au3 0.500 0.500 0.500 1
```

---

[2]
VASP calculation (PBE-GGA) on a geometry-optimized Na2Ga2Pd5Au structure.

The value obtained for the total energy is -41.892 eV/f.u. As for the formation enthalpy at 0 K: -38.2 kJ per mole of atoms.

CIF file:
```
data_Na2Ga2Pd5Au
_chemical_formula_sum 'Na4 Ga4 Pd10 Au2'
_space_group_name_H-M_alt 'P 4/m b m'
_space_group_IT_number 127
_space_group_name_Hall '-P 4 2ab'
_cell_length_a 9.743
_cell_length_b 9.743
_cell_length_c 3.681
_cell_angle_alpha 90.00
_cell_angle_beta 90.00
_cell_angle_gamma 90.00
loop_
_atom_site_label
_atom_site_fract_x
_atom_site_fract_y
_atom_site_fract_z
_atom_site_occupancy
Na1 0.173 0.327 0.000 1
Ga1 0.128 0.628 0.000 1
Pd1 0.000 0.500 0.500 1
Pd2 0.069 0.793 0.500 1
Au1 0.000 0.000 0.000 1
```